--- w ---
Here is a crystal of SbSe3 relaxed with PBEsol from the Alexandria database. Energies are from meta-GGA SCAN.

The calculated volume comes out at 24.63 Å³ per atom. Its density of states at the Fermi level is 2.166 states/eV per cell.

It has space group P2/m (No. 10), with a = 4.029 Å, b = 5.790 Å, c = 4.243 Å, α = 90.00°, β = 95.40° and γ = 90.00°. The asymmetric unit holds Sb at (0.000, 0.000, 0.000), Se at (0.156, 0.500, 0.746) and Se at (0.500, 0.000, 0.500).

---

--- x ---
Here is a crystal of SbSe3 relaxed with PBEsol from the Alexandria database. Energies are from meta-GGA SCAN.

The calculated volume comes out at 23.29 Å³ per atom. Its density of states at the Fermi level is 4.903 states/eV per cell.

It has space group P6_3/mmc (No. 194), with a = 7.4637 Å, b = 7.4637 Å, c = 3.8619 Å, α = 90.00°, β = 90.00° and γ = 120.00°. The asymmetric unit holds Sb at (0.3333, 0.6667, 0.2500) and Se at (0.1708, 0.3415, 0.7500).

---

In kJ/mol of atoms, relative to the most stable structure: w 0.0; x 5.3.